DFT (PBE-GGA) results for an optimized crystal structure of Ba3Cu5Cl12.

**Space-group type**: Ia-3d (230)
**Crystal system**: cubic
**Energy relative to the elements, uncorrected**: -1.371 eV per atom
**Fermi-level density of states**: 50.9 states/eV per cell
**Calculated total energy**: -3.79 eV/atom
**Total moment**: 1.2 μB per formula unit

Lattice parameters (Å, degrees): 13.8352 13.8352 13.8352 109.47 109.47 109.47
Last column: magnetic moment on the atom in μB.
Sites, in units of the cell vectors:
Ba: 0.3750 0.6250 0.2500  0.00
Ba: 0.7500 0.3750 0.1250  0.00
Ba: 0.6250 0.3750 0.7500  0.00
Ba: 0.8750 0.1250 0.2500  0.00
Ba: 0.3750 0.7500 0.6250  0.00
Ba: 0.7500 0.8750 0.6250  0.00
Ba: 0.1250 0.8750 0.7500  0.00
Ba: 0.2500 0.1250 0.3750  0.00
Ba: 0.1250 0.2500 0.8750  0.00
Ba: 0.6250 0.2500 0.3750  0.00
Ba: 0.8750 0.7500 0.1250  0.00
Ba: 0.2500 0.6250 0.8750  0.00
Cl: 0.6994 0.1130 0.0180  0.02
Cl: 0.5865 0.8870 0.4050  0.02
Cl: 0.4135 0.1130 0.5950  0.02
Cl: 0.0180 0.4050 0.8186  0.02
Cl: 0.9820 0.3870 0.3006  0.02
Cl: 0.8870 0.5865 0.9050  0.02
Cl: 0.0865 0.1814 0.1994  0.02
Cl: 0.1130 0.6994 0.5180  0.02
Cl: 0.5865 0.6994 0.6814  0.02
Cl: 0.0950 0.9135 0.1130  0.02
Cl: 0.0865 0.9050 0.3870  0.02
Cl: 0.3006 0.4135 0.8186  0.02
Cl: 0.3870 0.4050 0.0865  0.02
Cl: 0.1994 0.5180 0.6130  0.02
Cl: 0.4820 0.8006 0.8870  0.02
Cl: 0.8870 0.3006 0.4820  0.02
Cl: 0.1814 0.0950 0.9820  0.02
Cl: 0.4050 0.0180 0.3186  0.02
Cl: 0.0180 0.6130 0.6994  0.02
Cl: 0.6130 0.5950 0.9135  0.02
Cl: 0.6994 0.5865 0.1814  0.02
Cl: 0.5180 0.1994 0.1130  0.02
Cl: 0.8186 0.9135 0.3006  0.02
Cl: 0.9135 0.8186 0.8006  0.02
Cl: 0.1994 0.6814 0.0865  0.02
Cl: 0.6814 0.1994 0.5865  0.02
Cl: 0.6814 0.4820 0.5950  0.02
Cl: 0.0950 0.1814 0.4820  0.02
Cl: 0.1814 0.0865 0.6994  0.02
Cl: 0.4820 0.6814 0.0950  0.02
Cl: 0.9050 0.8186 0.5180  0.02
Cl: 0.5950 0.9820 0.6814  0.02
Cl: 0.9135 0.0950 0.6130  0.02
Cl: 0.1130 0.4135 0.0950  0.02
Cl: 0.3870 0.9820 0.8006  0.02
Cl: 0.5180 0.3186 0.9050  0.02
Cl: 0.4135 0.3006 0.3186  0.02
Cl: 0.5950 0.6130 0.4135  0.02
Cl: 0.8186 0.9050 0.0180  0.02
Cl: 0.3186 0.5180 0.4050  0.02
Cl: 0.9820 0.5950 0.1814  0.02
Cl: 0.4050 0.3870 0.5865  0.02
Cl: 0.8006 0.4820 0.3870  0.02
Cl: 0.3186 0.8006 0.4135  0.02
Cl: 0.9050 0.0865 0.8870  0.02
Cl: 0.8006 0.3186 0.9135  0.02
Cl: 0.3006 0.8870 0.9820  0.02
Cl: 0.6130 0.0180 0.1994  0.02
Cu: 0.1250 0.7500 0.3750  0.14
Cu: 0.2500 0.8750 0.1250  0.14
Cu: 0.0000 0.0000 0.5000  0.24
Cu: 0.5000 0.0000 0.5000  0.24
Cu: 0.6250 0.8750 0.2500  0.14
Cu: 0.6250 0.7500 0.8750  0.14
Cu: 0.7500 0.1250 0.8750  0.14
Cu: 0.5000 0.0000 0.0000  0.24
Cu: 0.8750 0.6250 0.7500  0.14
Cu: 0.3750 0.1250 0.7500  0.14
Cu: 0.8750 0.2500 0.6250  0.14
Cu: 0.2500 0.3750 0.6250  0.14
Cu: 0.7500 0.6250 0.3750  0.14
Cu: 0.5000 0.5000 0.5000  0.24
Cu: 0.0000 0.5000 0.5000  0.24
Cu: 0.0000 0.0000 0.0000  0.24
Cu: 0.5000 0.5000 0.0000  0.24
Cu: 0.1250 0.3750 0.2500  0.14
Cu: 0.3750 0.2500 0.1250  0.14
Cu: 0.0000 0.5000 0.0000  0.24